# Ca3Y5 (PBE-GGA, relaxed)
# **Raw total energy**: -0.34875 Ry/atom
# **Formation enthalpy at 0 K**: 0.046 eV/atom
# **Offset from the most stable computed form**: 0.000 eV/atom
data_Ca3Y5
_cell_length_a 5.183
_cell_length_b 5.194
_cell_length_c 21.131
_cell_angle_alpha 90.00
_cell_angle_beta 90.00
_cell_angle_gamma 90.00
_space_group_name_H-M_alt 'C m m m'
_space_group_IT_number 65
_space_group_name_Hall '-C 2 2'
loop_
_atom_site_label
_atom_site_type_symbol
_atom_site_fract_x
_atom_site_fract_y
_atom_site_fract_z
_atom_site_occupancy
Ca1 Ca 0.000 0.000 0.000 1
Ca2 Ca 0.000 0.500 0.140 1
Y1 Y 0.000 0.000 0.270 1
Y2 Y 0.000 0.000 0.500 1
Y3 Y 0.000 0.500 0.382 1